A plane-wave DFT calculation with GGA-PBE was carried out for a geometry-optimized HfZrB2Ru structure.

It has space group P4/mmm (No. 123), with a = 4.298 Å, b = 4.298 Å, c = 5.117 Å, α = 90.00°, β = 90.00° and γ = 90.00°. The distinct sites, in fractional coordinates, are Hf at (0.000, 0.000, 0.000), Zr at (0.000, 0.000, 0.500), B at (0.000, 0.500, 0.000) and Ru at (0.500, 0.500, 0.500).

The value obtained for the energy relative to the elements is 1.8970 eV/atom. Its density of states at the Fermi level is 1.03 states/eV per atom. Its magnetic moment is 1.65 μB/f.u.

---

A plane-wave DFT calculation with GGA-PBE was carried out for a geometry-optimized PrSm3Ir8 structure.

It has space group R3m (No. 160, hexagonal axes), with a = 5.4248 Å, b = 5.4248 Å, c = 26.5492 Å, α = 90.00°, β = 90.00° and γ = 120.00°. The distinct sites, in fractional coordinates, are Pr at (0.0000, 0.0000, 0.0000), Sm at (0.0000, 0.0000, 0.1251), Sm at (0.0000, 0.0000, 0.4999), Sm at (0.0000, 0.0000, 0.6246), Ir at (0.0000, 0.0000, 0.3123), Ir at (0.0000, 0.0000, 0.8124), Ir at (0.0003, 0.5002, 0.0629) and Ir at (0.1670, 0.3339, 0.8953).

The value obtained for the energy relative to the elements is -0.7222 eV/atom. Its density of states at the Fermi level is 0.81 states/eV per atom. Its magnetic moment is 0.00 μB/f.u.

---

no.,theoretical density (g/cm³),uncorrected energy (eV/atom)
1,6.89,-6.33
2,15.68,-8.21